(1)
Density functional theory data (PBE-GGA) for Fe2SnRu2 after structural relaxation.

Calculated values
The total moment is 5.706 μB/f.u.

a = 7.2146 Å, b = 7.2146 Å, c = 2.9080 Å
α = 90.00°, β = 90.00°, γ = 90.00°
Last column: nearest neighbours and their distance in Å.
Positions (direct):
Ru 0.8664 0.6336 0.0000  6 Fe 2.56-2.58, 1 Ru 2.73, 2 Sn 2.81
Sn 0.0000 0.0000 0.0000  4 Ru 2.81, 2 Sn 2.91, 8 Fe 3.08
Ru 0.6336 0.1336 0.0000  6 Fe 2.56-2.58, 1 Ru 2.73, 2 Sn 2.81
Fe 0.1581 0.6581 0.5000  6 Ru 2.56-2.58
Fe 0.8419 0.3419 0.5000  6 Ru 2.56-2.58
Ru 0.3664 0.8664 0.0000  6 Fe 2.56-2.58, 1 Ru 2.73, 2 Sn 2.81
Ru 0.1336 0.3664 0.0000  6 Fe 2.56-2.58, 1 Ru 2.73, 2 Sn 2.81
Fe 0.3419 0.1581 0.5000  6 Ru 2.56-2.58
Fe 0.6581 0.8419 0.5000  6 Ru 2.56-2.58
Sn 0.5000 0.5000 0.0000  4 Ru 2.81, 2 Sn 2.91, 8 Fe 3.08

(2)
Density functional theory data (PBE-GGA) for FeSnRu2 after structural relaxation.

Calculated values
The total moment is 0.000 μB/f.u.

a = 5.6608 Å, b = 5.6608 Å, c = 6.7124 Å
α = 65.06°, β = 65.06°, γ = 90.00°
Last column: nearest neighbours and their distance in Å.
Positions (direct):
Sn 0.7500 0.2500 0.5000  4 Ru 2.63
Ru 0.3750 0.4361 0.7500  2 Fe 2.23
Ru 0.1861 0.6250 0.2500  2 Fe 2.23
Ru 0.5639 0.1250 0.2500  2 Fe 2.23
Ru 0.8750 0.8139 0.7500  2 Fe 2.23
Fe 0.2500 0.7500 0.5000  4 Ru 2.23
Fe 0.5000 0.5000 0.0000  4 Ru 2.23
Sn 0.0000 0.0000 0.0000  4 Ru 2.63

(3)
Density functional theory data (PBE-GGA) for FeSn2Ru after structural relaxation.

Calculated values
The total moment is 0.000 μB/f.u.

a = 4.5029 Å, b = 4.5029 Å, c = 4.5029 Å
α = 60.00°, β = 60.00°, γ = 60.00°
Last column: nearest neighbours and their distance in Å.
Positions (direct):
Sn 0.2500 0.2500 0.2500  4 Fe 2.76, 4 Ru 2.76
Fe 0.0000 0.0000 0.0000  8 Sn 2.76
Sn 0.7500 0.7500 0.7500  4 Fe 2.76, 4 Ru 2.76
Ru 0.5000 0.5000 0.5000  8 Sn 2.76

| no. | E_form (kJ per mole of atoms) |
| --- | --- |
| 1 | 27.9 |
| 2 | 96.6 |
| 3 | 13.0 |